1.
## KHgAs (PBE)

Data for crystalline KHgAs at its relaxed geometry.

a b c (Å): 4.6190 4.6190 10.2005
angles (deg): 90.00 90.00 120.00
Space group P6_3/mmc (No. 194)
Inequivalent atoms, fractional coordinates:
K 0.0000 0.0000 0.0000 x2
Hg 0.3333 0.6667 0.2500 x2
As 0.3333 0.6667 0.7500 x2

Calculated values
- VASP energy (eV per atom) = -2.38

---

2.
## Ta2Mo4C3S3 (PBE)

Data for crystalline Ta2Mo4C3S3 at its relaxed geometry.

a b c (Å): 9.790 5.631 12.140
angles (deg): 90.00 106.80 90.00
Space group C2/c (No. 15)
Inequivalent atoms, fractional coordinates:
Ta 0.056 0.094 0.406 x8
Mo 0.106 0.435 0.597 x8
Mo 0.197 0.423 0.908 x8
C 0.087 0.235 0.006 x8
C 0.250 0.250 0.500 x4
S 0.000 0.420 0.250 x4
S 0.169 0.093 0.755 x8

Calculated values
- VASP energy (eV per atom) = -9.26

---

3.
## CuAg4 (PBE)

Data for crystalline CuAg4 at its relaxed geometry.

a b c (Å): 2.902 4.014 14.449
angles (deg): 90.00 90.00 90.00
Space group Pmmn (No. 59, origin choice 2)
Inequivalent atoms, fractional coordinates:
Cu 0.250 0.250 0.146 x2
Ag 0.250 0.250 0.343 x2
Ag 0.250 0.250 0.552 x2
Ag 0.250 0.250 0.759 x2
Ag 0.250 0.250 0.950 x2

Calculated values
- energy above the most stable polymorph in this dataset (meV/atom) = 31.9
- DFT formation energy (meV per atom) = 56
- VASP energy (eV per atom) = -2.95

---

Question: Among the records above, which one has the lowest VASP energy?
Answer: Ta2Mo4C3S3